Cd2IrSe2 | GGA-PBE | relaxed

Unit cell a=7.405 b=7.405 c=3.785 alpha=90.00 beta=90.00 gamma=90.00
Space group P4/mbm (No. 127)
Inequivalent atoms, fractional coordinates:
Cd: 0.140 0.360 0.000 x4
Ir: 0.000 0.000 0.000 x2
Se: 0.174 0.674 0.500 x4

Computed properties:
* theoretical density: 9.202 g cm⁻³
* E above lowest polymorph: 0.58 eV/f.u.
* crystal system: tetragonal
* uncorrected formation energy: 0.50 eV/atom

***

CdIr2Se | GGA-PBE | relaxed

Unit cell a=8.767 b=2.988 c=5.249 alpha=90.00 beta=101.58 gamma=90.00
Space group C2/m (No. 12)
Inequivalent atoms, fractional coordinates:
Cd: 0.000 0.000 0.000 x2
Ir: 0.245 0.000 0.719 x4
Se: 0.000 0.500 0.500 x2

Computed properties:
* theoretical density: 14.197 g cm⁻³
* E above lowest polymorph: 0.84 eV/f.u.
* crystal system: monoclinic
* uncorrected formation energy: 0.36 eV/atom

***

CdIr2Se | GGA-PBE | relaxed

Unit cell a=2.801 b=3.571 c=7.556 alpha=90.00 beta=90.08 gamma=90.00
Space group Pm (No. 6)
Inequivalent atoms, fractional coordinates:
Cd: 0.000 0.000 0.000 x1
Ir: 0.002 0.000 0.419 x1
Ir: 0.502 0.500 0.234 x1
Se: 0.004 0.500 0.649 x1

Computed properties:
* theoretical density: 12.653 g cm⁻³
* E above lowest polymorph: 0.00 eV/f.u.
* crystal system: monoclinic
* uncorrected formation energy: 0.15 eV/atom

***

CdIr2Se | GGA-PBE | relaxed

Unit cell a=2.879 b=4.779 c=4.937 alpha=90.00 beta=90.00 gamma=90.00
Space group Pmmm (No. 47)
Inequivalent atoms, fractional coordinates:
Cd: 0.000 0.000 0.000 x1
Ir: 0.000 0.500 0.500 x1
Ir: 0.500 0.500 0.000 x1
Se: 0.500 0.000 0.500 x1

Computed properties:
* theoretical density: 14.074 g cm⁻³
* E above lowest polymorph: 1.39 eV/f.u.
* crystal system: orthorhombic
* uncorrected formation energy: 0.49 eV/atom

***

CdIrSe4 | GGA-PBE | relaxed

Unit cell a=7.938 b=7.938 c=7.938 alpha=90.00 beta=90.00 gamma=90.00
Space group F-43m (No. 216)
Inequivalent atoms, fractional coordinates:
Cd: 0.000 0.000 0.000 x4
Ir: 0.250 0.250 0.750 x4
Se: 0.124 0.124 0.376 x16

Computed properties:
* theoretical density: 8.240 g cm⁻³
* crystal system: cubic
* uncorrected formation energy: 0.99 eV/atom

***

CdSiIrSe2 | GGA-PBE | relaxed

Unit cell a=4.892 b=4.892 c=5.135 alpha=90.00 beta=90.00 gamma=90.00
Space group P4/mmm (No. 123)
Inequivalent atoms, fractional coordinates:
Cd: 0.000 0.000 0.000 x1
Si: 0.500 0.500 0.000 x1
Ir: 0.000 0.000 0.500 x1
Se: 0.000 0.500 0.500 x2

Computed properties:
* theoretical density: 6.630 g cm⁻³
* crystal system: tetragonal
* uncorrected formation energy: 0.72 eV/atom

***

CdSiIr2Se | GGA-PBE | relaxed

Unit cell a=4.980 b=4.980 c=4.606 alpha=90.00 beta=90.00 gamma=90.00
Space group P4/mmm (No. 123)
Inequivalent atoms, fractional coordinates:
Cd: 0.000 0.000 0.000 x1
Si: 0.000 0.000 0.500 x1
Ir: 0.000 0.500 0.000 x2
Se: 0.500 0.500 0.500 x1

Computed properties:
* theoretical density: 8.780 g cm⁻³
* crystal system: tetragonal
* uncorrected formation energy: 1.94 eV/atom

***

CdSnIr2Se | GGA-PBE | relaxed

Unit cell a=4.940 b=4.940 c=5.177 alpha=90.00 beta=90.00 gamma=90.00
Space group P4/mmm (No. 123)
Inequivalent atoms, fractional coordinates:
Cd: 0.000 0.000 0.000 x1
Sn: 0.500 0.500 0.500 x1
Ir: 0.000 0.500 0.500 x2
Se: 0.500 0.500 0.000 x1

Computed properties:
* theoretical density: 9.127 g cm⁻³
* crystal system: tetragonal
* uncorrected formation energy: 1.31 eV/atom